Computed, not measured: a relaxed structure of RuPb2W at the GGA-PBE level of DFT.

a = 4.820 Å, b = 4.820 Å, c = 3.325 Å
α = 90.00°, β = 90.00°, γ = 90.00°
Sites, in units of the cell vectors:
1 Ru 0.000 0.000 0.000
2 Pb 0.000 0.500 0.500
3 Pb 0.500 0.000 0.500
4 W 0.500 0.500 0.000

The calculation puts the formation enthalpy at 0 K at 0.918 eV per atom. The value obtained for the energy is -0.477 Ry per atom. As for the polymorph energy (0 for the lowest one): 605 meV/atom.